Compound: UGaFeO6
Source: the Alexandria database
Functional: PBE with a Hubbard U
Structure: optimized geometry

## Properties
DFT total energy = -138.074 eV per cell

POSCAR file:
```
UGaFeO6
1.0
5.2293 0.0000 0.0000
-2.6146 4.5287 0.0000
0.0000 0.0000 8.9793
U Ga Fe O
2 2 2 12
Direct
0.3333 0.6667 0.2500
0.6667 0.3333 0.7500
0.3333 0.6667 0.7500
0.6667 0.3333 0.2500
0.0000 0.0000 0.0000
0.0000 0.0000 0.5000
0.0107 0.3364 0.6286
0.0107 0.6743 0.8714
0.3257 0.3364 0.8714
0.3257 0.9893 0.6286
0.3364 0.0107 0.1286
0.3364 0.3257 0.3714
0.6636 0.6743 0.6286
0.6636 0.9893 0.8714
0.6743 0.0107 0.3714
0.6743 0.6636 0.1286
0.9893 0.3257 0.1286
0.9893 0.6636 0.3714
```